1.
Density functional theory data (GGA-PBE) for crystalline Tb12Dy6Er at its relaxed geometry.

Summary:
Calculated formation energy: 2.9 eV per formula unit
Spin magnetization: 0.001 μB per formula unit

Unit cell a=11.8732 b=11.8732 c=15.0910 alpha=90.00 beta=90.00 gamma=120.00
Space group R-3 (No. 148, hexagonal axes)
Inequivalent atoms, fractional coordinates:
Tb 0.0111 0.1779 0.1908 (multiplicity 18)
Tb 0.0429 0.1920 0.4160 (multiplicity 18)
Dy 0.0117 0.5882 0.6822 (multiplicity 18)
Er 0.0000 0.0000 0.0000 (multiplicity 3)

2.
Density functional theory data (GGA-PBE) for crystalline InH4NCl3 at its relaxed geometry.

Summary:
Electronic total energy: -147.65 eV for the cell shown
Spin magnetization: 0.000 μB per formula unit

Unit cell a=7.476 b=7.749 c=12.463 alpha=90.66 beta=90.42 gamma=91.74
Space group P1 (No. 1)
Inequivalent atoms, fractional coordinates:
In 0.000 0.000 0.000 (multiplicity 1)
In 0.002 0.490 0.001 (multiplicity 1)
In 0.489 0.008 0.488 (multiplicity 1)
In 0.501 0.517 0.496 (multiplicity 1)
H 0.046 0.194 0.267 (multiplicity 1)
H 0.058 0.222 0.403 (multiplicity 1)
H 0.135 0.663 0.667 (multiplicity 1)
H 0.369 0.139 0.825 (multiplicity 1)
H 0.437 0.717 0.092 (multiplicity 1)
H 0.448 0.689 0.228 (multiplicity 1)
H 0.521 0.985 0.801 (multiplicity 1)
H 0.524 0.536 0.146 (multiplicity 1)
H 0.559 0.188 0.755 (multiplicity 1)
H 0.573 0.144 0.888 (multiplicity 1)
H 0.641 0.726 0.156 (multiplicity 1)
H 0.856 0.235 0.338 (multiplicity 1)
H 0.934 0.683 0.601 (multiplicity 1)
H 0.944 0.699 0.738 (multiplicity 1)
H 0.956 0.043 0.347 (multiplicity 1)
H 0.970 0.508 0.673 (multiplicity 1)
N 0.505 0.115 0.817 (multiplicity 1)
N 0.513 0.667 0.155 (multiplicity 1)
N 0.979 0.174 0.340 (multiplicity 1)
N 0.997 0.639 0.671 (multiplicity 1)
Cl 0.083 0.192 0.840 (multiplicity 1)
Cl 0.194 0.206 0.120 (multiplicity 1)
Cl 0.228 0.321 0.537 (multiplicity 1)
Cl 0.270 0.814 0.961 (multiplicity 1)
Cl 0.302 0.699 0.376 (multiplicity 1)
Cl 0.423 0.716 0.656 (multiplicity 1)
Cl 0.586 0.337 0.333 (multiplicity 1)
Cl 0.692 0.330 0.618 (multiplicity 1)
Cl 0.729 0.193 0.035 (multiplicity 1)
Cl 0.770 0.726 0.459 (multiplicity 1)
Cl 0.803 0.803 0.879 (multiplicity 1)
Cl 0.918 0.821 0.164 (multiplicity 1)

What did the second record say?
Density functional theory data (GGA-PBE) for crystalline InH4NCl3 at its relaxed geometry.

Summary:
Electronic total energy: -147.65 eV for the cell shown
Spin magnetization: 0.000 μB per formula unit

Unit cell a=7.476 b=7.749 c=12.463 alpha=90.66 beta=90.42 gamma=91.74
Space group P1 (No. 1)
Inequivalent atoms, fractional coordinates:
In 0.000 0.000 0.000 (multiplicity 1)
In 0.002 0.490 0.001 (multiplicity 1)
In 0.489 0.008 0.488 (multiplicity 1)
In 0.501 0.517 0.496 (multiplicity 1)
H 0.046 0.194 0.267 (multiplicity 1)
H 0.058 0.222 0.403 (multiplicity 1)
H 0.135 0.663 0.667 (multiplicity 1)
H 0.369 0.139 0.825 (multiplicity 1)
H 0.437 0.717 0.092 (multiplicity 1)
H 0.448 0.689 0.228 (multiplicity 1)
H 0.521 0.985 0.801 (multiplicity 1)
H 0.524 0.536 0.146 (multiplicity 1)
H 0.559 0.188 0.755 (multiplicity 1)
H 0.573 0.144 0.888 (multiplicity 1)
H 0.641 0.726 0.156 (multiplicity 1)
H 0.856 0.235 0.338 (multiplicity 1)
H 0.934 0.683 0.601 (multiplicity 1)
H 0.944 0.699 0.738 (multiplicity 1)
H 0.956 0.043 0.347 (multiplicity 1)
H 0.970 0.508 0.673 (multiplicity 1)
N 0.505 0.115 0.817 (multiplicity 1)
N 0.513 0.667 0.155 (multiplicity 1)
N 0.979 0.174 0.340 (multiplicity 1)
N 0.997 0.639 0.671 (multiplicity 1)
Cl 0.083 0.192 0.840 (multiplicity 1)
Cl 0.194 0.206 0.120 (multiplicity 1)
Cl 0.228 0.321 0.537 (multiplicity 1)
Cl 0.270 0.814 0.961 (multiplicity 1)
Cl 0.302 0.699 0.376 (multiplicity 1)
Cl 0.423 0.716 0.656 (multiplicity 1)
Cl 0.586 0.337 0.333 (multiplicity 1)
Cl 0.692 0.330 0.618 (multiplicity 1)
Cl 0.729 0.193 0.035 (multiplicity 1)
Cl 0.770 0.726 0.459 (multiplicity 1)
Cl 0.803 0.803 0.879 (multiplicity 1)
Cl 0.918 0.821 0.164 (multiplicity 1)